Entry from the Alexandria database: crystalline Tb2NdY6Ho2 at its relaxed geometry (GGA-PBE).

Cell: 6.656 6.656 12.005 Å, 101.73 101.73 129.25°
Sites, in units of the cell vectors:
Y 0.288 0.288 0.289
Y 0.142 0.448 0.794
Y 0.552 0.858 0.206
Y 0.858 0.552 0.206
Y 0.448 0.142 0.794
Y 0.712 0.712 0.711
Ho 0.704 0.296 0.500
Ho 0.296 0.704 0.500
Tb 0.865 0.135 0.000
Tb 0.135 0.865 0.000
Nd 0.000 0.000 0.500

Output
**Energy of formation**: 1.707 eV per formula unit
**Calculated total energy**: -60.261 eV for the cell shown

=====

Entry from the Alexandria database: crystalline HoHf at its relaxed geometry (GGA-PBE).

Cell: 3.339 5.241 5.957 Å, 90.00 89.99 90.00°
Sites, in units of the cell vectors:
Hf 0.750 0.750 0.570
Hf 0.250 0.250 0.430
Ho 0.250 0.750 0.099
Ho 0.750 0.250 0.901

Output
**Energy of formation**: 0.219 eV per formula unit
**Calculated total energy**: -28.624 eV for the cell shown

=====

Entry from the Alexandria database: crystalline PrScTe2O at its relaxed geometry (GGA-PBE).

Cell: 4.156 4.156 15.154 Å, 90.00 90.00 90.00°
Sites, in units of the cell vectors:
O 0.000 0.000 0.500
O 0.500 0.500 0.500
Sc 0.000 0.500 0.884
Sc 0.500 0.000 0.116
Pr 0.500 0.000 0.577
Pr 0.000 0.500 0.423
Te 0.500 0.000 0.912
Te 0.000 0.500 0.088
Te 0.500 0.000 0.296
Te 0.000 0.500 0.704

Output
**ΔE_f (raw)**: -1.979 eV per atom
**Calculated total energy**: -64.498 eV for the cell shown

=====

Entry from the Alexandria database: crystalline Sn2BH at its relaxed geometry (GGA-PBE).

Cell: 5.412 5.412 6.265 Å, 64.41 64.41 90.00°
Sites, in units of the cell vectors:
Sn 0.375 0.376 0.750
Sn 0.624 0.125 0.250
Sn 0.126 0.625 0.250
Sn 0.875 0.874 0.750
B 0.750 0.250 0.500
B 0.000 0.000 0.000
H 0.250 0.750 0.500
H 0.500 0.500 0.000

Output
**Calculated total energy**: -30.709 eV for the cell shown
**Relative energy among the computed polymorphs**: 0 meV/atom

=====

Question: Which value of calculated total energy does entry 2 give?
Answer: -28.624 eV for the cell shown

=====

Question: calculated total energy of number 4 (Sn2BH)?
Answer: -30.709 eV for the cell shown

=====

Question: Which of these has the highest calculated total energy?
Answer: HoHf